Record 1
Material: PmNdGa2Pt5
Method: DFT, PBE
State: relaxed

a = 4.2453 Å, b = 4.2453 Å, c = 9.4102 Å
α = 90.00°, β = 90.00°, γ = 90.00°
With the nearest neighbours (Å) after each atom.
Atoms (fractional coordinates):
Pm (0.0000, 0.0000, 0.0000)  8 Ga 3.25, 8 Pt 3.33
Nd (0.0000, 0.0000, 0.5000)  12 Pt 3.00-3.02
Ga (0.5000, 0.5000, 0.1327)  4 Pt 2.50, 1 Ga 2.50
Ga (0.5000, 0.5000, 0.8673)  4 Pt 2.50, 1 Ga 2.50
Pt (0.0000, 0.5000, 0.2721)  2 Ga 2.50
Pt (0.0000, 0.5000, 0.7279)  2 Ga 2.50
Pt (0.5000, 0.0000, 0.2721)  2 Ga 2.50
Pt (0.5000, 0.0000, 0.7279)  2 Ga 2.50
Pt (0.5000, 0.5000, 0.5000)  4 Nd 3.00, 8 Pt 3.02

Computed properties:
Space group = P4/mmm, No. 123
Crystal system = tetragonal
Density of states at the Fermi level = 0.457 states/eV/atom
Raw total energy = -54.0 eV for the cell shown

=====

Record 2
Material: PmNdGa2Pt2
Method: DFT, PBE
State: relaxed

a = 4.4806 Å, b = 4.4806 Å, c = 7.4523 Å
α = 90.00°, β = 90.00°, γ = 120.00°
With the nearest neighbours (Å) after each atom.
Atoms (fractional coordinates):
Pm (0.0000, 0.0000, 0.0000)  6 Pt 3.17, 6 Ga 3.17
Nd (0.0000, 0.0000, 0.5000)  6 Ga 3.20, 6 Pt 3.20
Ga (0.3333, 0.6667, 0.2463)  3 Pt 2.59
Ga (0.6667, 0.3333, 0.7537)  3 Pt 2.59
Pt (0.3333, 0.6667, 0.7539)  3 Ga 2.59
Pt (0.6667, 0.3333, 0.2461)  3 Ga 2.59

Computed properties:
Space group = P-3m1, No. 164
Crystal system = trigonal
Density of states at the Fermi level = 0.696 states/eV/atom
Raw total energy = -33.7 eV for the cell shown

=====

Record 3
Material: PmNdPuGa
Method: DFT, PBE
State: relaxed

a = 5.3897 Å, b = 5.3897 Å, c = 5.3897 Å
α = 60.00°, β = 60.00°, γ = 60.00°
With the nearest neighbours (Å) after each atom.
Atoms (fractional coordinates):
Pm (0.0000, 0.0000, 0.0000)  4 Pu 3.30, 4 Nd 3.30
Nd (0.2500, 0.2500, 0.2500)  4 Ga 3.30, 4 Pm 3.30
Pu (0.7500, 0.7500, 0.7500)  4 Ga 3.30, 4 Pm 3.30
Ga (0.5000, 0.5000, 0.5000)  4 Nd 3.30, 4 Pu 3.30

Computed properties:
Space group = F-43m, No. 216
Crystal system = cubic
Density of states at the Fermi level = 2.958 states/eV/atom
Raw total energy = -26.7 eV for the cell shown

=====

Record 4
Material: Pm2Nd2GaRh4
Method: DFT, PBE
State: relaxed

a = 6.5246 Å, b = 6.5246 Å, c = 6.5246 Å
α = 117.84°, β = 117.84°, γ = 93.78°
With the nearest neighbours (Å) after each atom.
Atoms (fractional coordinates):
Pm (0.2500, 0.7500, 0.5000)  8 Rh 3.26, 4 Nd 3.42
Pm (0.7500, 0.2500, 0.5000)  8 Rh 3.26, 4 Nd 3.42
Nd (0.1838, 0.1838, 0.0000)  1 Ga 2.82, 4 Rh 2.84
Nd (0.8162, 0.8162, 0.0000)  1 Ga 2.82, 4 Rh 2.84
Ga (0.5000, 0.5000, 0.0000)  4 Rh 2.44
Rh (0.2436, 0.2436, 0.4873)  1 Ga 2.44
Rh (0.2436, 0.7564, 0.0000)  1 Ga 2.44
Rh (0.7564, 0.2436, 0.0000)  1 Ga 2.44
Rh (0.7564, 0.7564, 0.5127)  1 Ga 2.44

Computed properties:
Space group = I4/mmm, No. 139
Crystal system = tetragonal
Density of states at the Fermi level = 0.829 states/eV/atom
Raw total energy = -55.0 eV for the cell shown

=====

Record 5
Material: PmNdGaRu
Method: DFT, PBE
State: relaxed

a = 5.0873 Å, b = 5.0873 Å, c = 5.0873 Å
α = 60.00°, β = 60.00°, γ = 60.00°
With the nearest neighbours (Å) after each atom.
Atoms (fractional coordinates):
Pm (0.0000, 0.0000, 0.0000)  4 Ru 3.12, 4 Ga 3.12
Nd (0.5000, 0.5000, 0.5000)  4 Ga 3.12, 4 Ru 3.12
Ga (0.7500, 0.7500, 0.7500)  4 Nd 3.12, 4 Pm 3.12
Ru (0.2500, 0.2500, 0.2500)  4 Nd 3.12, 4 Pm 3.12

Computed properties:
Space group = F-43m, No. 216
Crystal system = cubic
Density of states at the Fermi level = 0.688 states/eV/atom
Raw total energy = -23.1 eV for the cell shown

=====

Record 6
Material: PmNdGaRu
Method: DFT, PBE
State: relaxed

a = 4.3868 Å, b = 5.8773 Å, c = 5.8773 Å
α = 40.54°, β = 90.00°, γ = 90.00°
With the nearest neighbours (Å) after each atom.
Atoms (fractional coordinates):
Pm (0.0000, 0.0000, 0.0000)  3 Ga 3.03-3.26, 4 Ru 3.12
Nd (0.5000, 0.7207, 0.7207)  3 Ru 3.01-3.30, 4 Ga 3.11
Ga (0.0000, 0.2960, 0.2960)  2 Ru 2.59
Ru (0.5000, 0.4214, 0.4214)  2 Ga 2.59

Computed properties:
Space group = Amm2, No. 38
Crystal system = orthorhombic
Density of states at the Fermi level = 0.808 states/eV/atom
Raw total energy = -23.4 eV for the cell shown

=====

Record 7
Material: PmNdScGa
Method: DFT, PBE
State: relaxed

a = 5.3231 Å, b = 5.3231 Å, c = 5.3231 Å
α = 60.00°, β = 60.00°, γ = 60.00°
With the nearest neighbours (Å) after each atom.
Atoms (fractional coordinates):
Pm (0.0000, 0.0000, 0.0000)  4 Ga 3.26, 4 Sc 3.26
Nd (0.5000, 0.5000, 0.5000)  4 Ga 3.26, 4 Sc 3.26
Sc (0.2500, 0.2500, 0.2500)  4 Nd 3.26, 4 Pm 3.26
Ga (0.7500, 0.7500, 0.7500)  4 Nd 3.26, 4 Pm 3.26

Computed properties:
Space group = F-43m, No. 216
Crystal system = cubic
Density of states at the Fermi level = 1.363 states/eV/atom
Raw total energy = -19.4 eV for the cell shown

=====

Record 8
Material: PmNdGaSi
Method: DFT, PBE
State: relaxed

a = 5.1702 Å, b = 5.1702 Å, c = 5.1702 Å
α = 60.00°, β = 60.00°, γ = 60.00°
With the nearest neighbours (Å) after each atom.
Atoms (fractional coordinates):
Pm (0.0000, 0.0000, 0.0000)  4 Si 3.17, 4 Ga 3.17
Nd (0.5000, 0.5000, 0.5000)  4 Si 3.17, 4 Ga 3.17
Ga (0.2500, 0.2500, 0.2500)  4 Nd 3.17, 4 Pm 3.17
Si (0.7500, 0.7500, 0.7500)  4 Nd 3.17, 4 Pm 3.17

Computed properties:
Space group = F-43m, No. 216
Crystal system = cubic
Density of states at the Fermi level = 0.561 states/eV/atom
Formation energy without anion corrections = -10.9 kcal/mol of atoms